Material: RbPPb2W
Method: DFT, GGA-PBEsol
State: relaxed

```
RbPPb2W
1.0
5.450 0.000 0.000
0.000 5.450 0.000
0.000 0.000 4.706
Rb P Pb W
1 1 2 1
direct
0.000 0.000 0.000
0.500 0.500 0.000
0.000 0.500 0.500
0.500 0.000 0.500
0.500 0.500 0.500
```

Output
VASP energy = -5.425 eV per atom
Space-group type = P4/mmm